## ScTi3 (PBE)

Data for an optimized crystal structure of ScTi3.

Results
Crystal system   cubic
Calculated total energy   -7.37 eV/atom
Formation energy   3.1 kcal/mol of atoms
Total moment   0.00 μB per formula unit

```
data_ScTi3
_chemical_formula_sum 'Sc1 Ti3'
_cell_length_a 4.217
_cell_length_b 4.217
_cell_length_c 4.217
_cell_angle_alpha 90.00
_cell_angle_beta 90.00
_cell_angle_gamma 90.00
_symmetry_space_group_name_H-M 'P m -3 m'
_symmetry_Int_Tables_number 221
_symmetry_space_group_name_Hall '-P 4 2 3'
loop_
_atom_site_label
_atom_site_fract_x
_atom_site_fract_y
_atom_site_fract_z
_atom_site_occupancy
Sc1 0.000 0.000 0.000 1
Ti1 0.000 0.500 0.500 1
```